Record 1
Material: BeCoRh
Method: DFT, GGA-PBEsol
State: relaxed

Computed properties:
Energy of formation from the pure elements, eV per atom: 0.12

a b c (Å): 5.149 5.149 5.149
angles (deg): 90.00 90.00 90.00
Space group F-43m (No. 216)
One atom of each set of equivalent atoms:
Be1 0.000 0.000 0.000 x4
Co1 0.250 0.250 0.750 x4
Rh1 0.250 0.250 0.250 x4



Record 2
Material: MoPt3
Method: DFT, GGA-PBEsol
State: relaxed

Computed properties:
Energy of formation from the pure elements, eV per atom: -0.14

a b c (Å): 5.488 7.923 2.751
angles (deg): 90.00 90.00 90.00
Space group Cmmm (No. 65)
One atom of each set of equivalent atoms:
Mo1 0.000 0.000 0.000 x2
Pt1 0.000 0.500 0.000 x2
Pt2 0.250 0.250 0.500 x4



Record 3
Material: Sr2Al
Method: DFT, GGA-PBEsol
State: relaxed

Computed properties:
Energy of formation from the pure elements, eV per atom: 0.05

a b c (Å): 7.883 7.883 7.883
angles (deg): 90.00 90.00 90.00
Space group Fm-3m (No. 225)
One atom of each set of equivalent atoms:
Sr1 0.250 0.250 0.250 x8
Al1 0.000 0.000 0.000 x4



Record 4
Material: MnZn2Hg
Method: DFT, GGA-PBEsol
State: relaxed

Computed properties:
Energy of formation from the pure elements, eV per atom: 0.21

a b c (Å): 8.972 2.902 4.883
angles (deg): 90.00 101.95 90.00
Space group Cm (No. 8)
One atom of each set of equivalent atoms:
Mn1 0.000 0.000 0.000 x2
Zn1 0.013 0.500 0.540 x2
Zn2 0.256 0.000 0.775 x2
Hg1 0.257 0.500 0.270 x2



Record 5
Material: BiTePO2
Method: DFT, GGA-PBEsol
State: relaxed

Computed properties:
Formation energy (no corrections), eV per atom: -0.27

a b c (Å): 4.117 4.117 5.212
angles (deg): 90.00 90.00 90.00
Space group P4/mmm (No. 123)
One atom of each set of equivalent atoms:
Bi1 0.000 0.000 0.000 x1
Te1 0.500 0.500 0.500 x1
P1 0.500 0.500 0.000 x1
O1 0.000 0.500 0.500 x2



Record 6
Material: MgMnSi2O6
Method: DFT, GGA-PBEsol
State: relaxed

Computed properties:
Energy above the lowest structure with this stoichiometry, meV per atom: 31
Formation energy (no corrections), eV per atom: -2.49

a b c (Å): 10.231 8.955 5.388
angles (deg): 90.00 112.48 90.00
Space group C2/c (No. 15)
One atom of each set of equivalent atoms:
Mg1 0.000 0.240 0.250 x4
Mn1 0.000 0.397 0.750 x4
Si1 0.207 0.088 0.694 x8
O1 0.120 0.242 0.646 x8
O2 0.121 0.403 0.172 x8
O3 0.153 0.028 0.376 x8



Record 7
Material: TaZn2SnI
Method: DFT, GGA-PBEsol
State: relaxed

Computed properties:
Formation energy (no corrections), eV per atom: 1.76

a b c (Å): 4.981 4.981 5.732
angles (deg): 90.00 90.00 90.00
Space group P4/mmm (No. 123)
One atom of each set of equivalent atoms:
Ta1 0.000 0.000 0.000 x1
Zn1 0.000 0.500 0.500 x2
Sn1 0.500 0.500 0.000 x1
I1 0.500 0.500 0.500 x1



Record 8
Material: YRe3
Method: DFT, GGA-PBEsol
State: relaxed

Computed properties:
Energy of formation from the pure elements, eV per atom: 0.38

a b c (Å): 9.0351 9.0351 2.7633
angles (deg): 90.00 90.00 120.00
Space group R-3m (No. 166, hexagonal axes)
One atom of each set of equivalent atoms:
Y1 0.0000 0.0000 0.0000 x3
Re1 0.0000 0.5000 0.0000 x9



Record 9
Material: CdInOs2
Method: DFT, GGA-PBEsol
State: relaxed

Computed properties:
Energy of formation from the pure elements, eV per atom: 0.66

a b c (Å): 2.8890 2.8890 27.1765
angles (deg): 90.00 90.00 120.00
Space group R-3m (No. 166, hexagonal axes)
One atom of each set of equivalent atoms:
Cd1 0.0000 0.0000 0.0000 x3
In1 0.0000 0.0000 0.5000 x3
Os1 0.0000 0.0000 0.2485 x6



Record 10
Material: AlRe2Hg
Method: DFT, GGA-PBEsol
State: relaxed

Computed properties:
Energy above the lowest structure with this stoichiometry, meV per atom: 0
Energy of formation from the pure elements, eV per atom: 0.39

a b c (Å): 2.8017 2.8017 27.6343
angles (deg): 90.00 90.00 120.00
Space group R-3m (No. 166, hexagonal axes)
One atom of each set of equivalent atoms:
Al1 0.0000 0.0000 0.0000 x3
Re1 0.0000 0.0000 0.2558 x6
Hg1 0.0000 0.0000 0.5000 x3



Record 11
Material: Ta2WAu
Method: DFT, GGA-PBEsol
State: relaxed

Computed properties:
Energy above the lowest structure with this stoichiometry, meV per atom: 15
Energy of formation from the pure elements, eV per atom: -0.05

a b c (Å): 3.297 3.297 6.220
angles (deg): 90.00 90.00 90.00
Space group P4/mmm (No. 123)
One atom of each set of equivalent atoms:
Ta1 0.000 0.000 0.237 x2
W1 0.500 0.500 0.000 x1
Au1 0.500 0.500 0.500 x1



Record 12
Material: Li13Ni15O28
Method: DFT, GGA-PBEsol
State: relaxed

Computed properties:
Formation energy (no corrections), eV per atom: -1.26

a b c (Å): 7.579 8.043 8.654
angles (deg): 103.69 105.39 105.16
Space group P-1 (No. 2)
One atom of each set of equivalent atoms:
Li1 0.000 0.000 0.000 x1
Li2 0.072 0.212 0.787 x2
Li3 0.146 0.428 0.574 x2
Li4 0.209 0.644 0.356 x2
Li5 0.289 0.855 0.144 x2
Li6 0.354 0.070 0.926 x2
Li7 0.433 0.285 0.716 x2
Ni1 0.000 0.500 0.000 x1
Ni2 0.075 0.716 0.787 x2
Ni3 0.145 0.931 0.574 x2
Ni4 0.212 0.141 0.356 x2
Ni5 0.281 0.359 0.143 x2
Ni6 0.363 0.572 0.928 x2
Ni7 0.430 0.786 0.717 x2
Ni8 0.500 0.000 0.500 x1
Ni9 0.500 0.500 0.500 x1
O1 0.002 0.266 0.021 x2
O2 0.073 0.952 0.788 x2
O3 0.092 0.484 0.794 x2
O4 0.131 0.159 0.548 x2
O5 0.155 0.700 0.595 x2
O6 0.217 0.380 0.364 x2
O7 0.232 0.913 0.363 x2
O8 0.264 0.589 0.135 x2
O9 0.295 0.130 0.164 x2
O10 0.367 0.341 0.938 x2
O11 0.374 0.806 0.921 x2
O12 0.421 0.030 0.691 x2
O13 0.450 0.535 0.715 x2
O14 0.488 0.741 0.514 x2



Record 13
Material: Sr2YP
Method: DFT, GGA-PBEsol
State: relaxed

Computed properties:
Energy of formation from the pure elements, eV per atom: -0.32

a b c (Å): 3.685 3.685 9.667
angles (deg): 90.00 90.00 90.00
Space group P4/mmm (No. 123)
One atom of each set of equivalent atoms:
Sr1 0.000 0.000 0.170 x2
Y1 0.500 0.500 0.500 x1
P1 0.500 0.500 0.000 x1



Record 14
Material: Zn2Au
Method: DFT, GGA-PBEsol
State: relaxed

Computed properties:
Energy of formation from the pure elements, eV per atom: -0.17

a b c (Å): 7.3481 7.3481 2.9428
angles (deg): 90.00 90.00 120.00
Space group P-62m (No. 189)
One atom of each set of equivalent atoms:
Zn1 0.0000 0.2956 0.0000 x3
Zn2 0.0000 0.6294 0.5000 x3
Au1 0.0000 0.0000 0.5000 x1
Au2 0.3333 0.6667 0.0000 x2



Record 15
Material: Cs2VS5O
Method: DFT, GGA-PBEsol
State: relaxed

Computed properties:
Formation energy (no corrections), eV per atom: -1.11

a b c (Å): 7.412 10.213 13.808
angles (deg): 90.00 111.37 90.00
Space group P2_1/c (No. 14)
One atom of each set of equivalent atoms:
Cs1 0.008 0.027 0.269 x4
Cs2 0.473 0.236 0.573 x4
V1 0.259 0.696 0.625 x4
S1 0.044 0.723 0.969 x4
S2 0.146 0.007 0.051 x4
S3 0.246 0.589 0.059 x4
S4 0.415 0.233 0.806 x4
S5 0.492 0.043 0.786 x4
O1 0.168 0.719 0.715 x4



Record 16
Material: WN
Method: DFT, GGA-PBEsol
State: relaxed

Computed properties:
Formation energy (no corrections), eV per atom: -0.54

a b c (Å): 7.127 2.908 4.254
angles (deg): 90.00 101.59 90.00
Space group Cm (No. 8)
One atom of each set of equivalent atoms:
W1 0.000 0.000 0.000 x2
W2 0.154 0.500 0.548 x2
N1 0.212 0.500 0.072 x2
N2 0.380 0.000 0.653 x2



Record 17
Material: NiPtRh
Method: DFT, GGA-PBEsol
State: relaxed

Computed properties:
Energy above the lowest structure with this stoichiometry, meV per atom: 6
Energy of formation from the pure elements, eV per atom: 0.00

a b c (Å): 2.676 3.685 7.971
angles (deg): 90.00 90.00 90.00
Space group Imm2 (No. 44)
One atom of each set of equivalent atoms:
Ni1 0.000 0.000 0.000 x2
Pt1 0.000 0.000 0.666 x2
Rh1 0.000 0.000 0.339 x2



Record 18
Material: BiI2OF
Method: DFT, GGA-PBEsol
State: relaxed

Computed properties:
Formation energy (no corrections), eV per atom: -0.10

a b c (Å): 6.060 6.060 4.165
angles (deg): 90.00 90.00 90.00
Space group P4/mmm (No. 123)
One atom of each set of equivalent atoms:
Bi1 0.000 0.000 0.000 x1
I1 0.000 0.500 0.000 x2
O1 0.000 0.000 0.500 x1
F1 0.500 0.500 0.500 x1



Record 19
Material: TlTeF5
Method: DFT, GGA-PBEsol
State: relaxed

Computed properties:
Formation energy (no corrections), eV per atom: -2.09

a b c (Å): 16.570 6.014 4.834
angles (deg): 90.00 90.00 90.00
Space group Pnma (No. 62)
One atom of each set of equivalent atoms:
Tl1 0.064 0.250 0.216 x4
Te1 0.168 0.750 0.587 x4
F1 0.076 0.750 0.342 x4
F2 0.097 0.515 0.759 x8
F3 0.202 0.520 0.314 x8



Record 20
Material: K2Hg
Method: DFT, GGA-PBEsol
State: relaxed

Computed properties:
Energy above the lowest structure with this stoichiometry, meV per atom: 14
Energy of formation from the pure elements, eV per atom: -0.12

a b c (Å): 16.831 4.093 7.967
angles (deg): 90.00 105.16 90.00
Space group C2/m (No. 12)
One atom of each set of equivalent atoms:
K1 0.118 0.000 0.062 x4
K2 0.149 0.000 0.586 x4
Hg1 0.002 0.500 0.311 x4



Record 21
Material: LaAl2Ag
Method: DFT, GGA-PBEsol
State: relaxed

Computed properties:
Energy above the lowest structure with this stoichiometry, meV per atom: 0
Energy of formation from the pure elements, eV per atom: -0.35

a b c (Å): 4.3603 4.3603 16.3333
angles (deg): 90.00 90.00 120.00
Space group R-3m (No. 166, hexagonal axes)
One atom of each set of equivalent atoms:
La1 0.0000 0.0000 0.0000 x3
Al1 0.0000 0.0000 0.2094 x6
Ag1 0.0000 0.0000 0.5000 x3



Record 22
Material: GaTe2HI
Method: DFT, GGA-PBEsol
State: relaxed

a b c (Å): 4.369 4.369 6.955
angles (deg): 90.00 90.00 90.00
Space group P4/mmm (No. 123)
One atom of each set of equivalent atoms:
Ga1 0.000 0.000 0.000 x1
Te1 0.000 0.500 0.500 x2
H1 0.500 0.500 0.500 x1
I1 0.500 0.500 0.000 x1



DFT total energy for the records above, in order: -6.504; -8.300; -2.538; -3.168; -5.088; -7.932; -2.584; -11.324; -6.496; -7.442; -10.761; -5.991; -4.397; -2.534; -5.410; -11.702; -7.084; -3.102; -4.347; -1.069; -4.556; -2.863 eV/atom